VASP calculation (PBEsol) on crystalline MgTl4 at its relaxed geometry.

Lattice parameters (Å, degrees): 4.9096 5.7644 5.7644 79.55 64.80 64.80
Last column: nearest neighbours and their distance in Å.
Fractional positions:
Tl (0.6084, 0.1904, 0.5929)  3 Mg 3.25-3.39, 9 Tl 3.30-3.42
Tl (0.7988, 0.5929, 0.8096)  3 Mg 3.25-3.39, 9 Tl 3.30-3.42
Tl (0.3916, 0.8096, 0.4071)  3 Mg 3.25-3.39, 9 Tl 3.30-3.42
Tl (0.2012, 0.4071, 0.1904)  3 Mg 3.25-3.39, 9 Tl 3.30-3.42
Mg (0.0000, 0.0000, 0.0000)  12 Tl 3.25-3.39

Calculated values
Electronic total energy   -12.2 eV per formula unit
Size of the total moment   0.00 μB/f.u.
ΔH_f (0 K)   0.00 eV per atom
D(E_F)   2.6 states/eV per cell
Crystal system   tetragonal

---

VASP calculation (PBEsol) on crystalline TaTiBe4 at its relaxed geometry.

Lattice parameters (Å, degrees): 4.5341 4.5341 4.5341 60.00 60.00 60.00
Last column: nearest neighbours and their distance in Å.
Fractional positions:
Be (0.8747, 0.3751, 0.3751)  6 Be 2.27
Be (0.3751, 0.3751, 0.3751)  6 Be 2.27
Be (0.3751, 0.8747, 0.3751)  6 Be 2.27
Be (0.3751, 0.3751, 0.8747)  6 Be 2.27
Ta (0.7500, 0.7500, 0.7500)  12 Be 2.66, 4 Ti 2.78
Ti (0.0000, 0.0000, 0.0000)  12 Be 2.66, 4 Ta 2.78

Calculated values
Electronic total energy   -37.8 eV per formula unit
Size of the total moment   0.90 μB/f.u.
ΔH_f (0 K)   -0.16 eV per atom
D(E_F)   5.6 states/eV per cell
Crystal system   cubic

---

VASP calculation (PBEsol) on crystalline TmGaO3 at its relaxed geometry.

Lattice parameters (Å, degrees): 3.4556 3.4556 11.5174 90.00 90.00 120.00
Last column: nearest neighbours and their distance in Å.
Fractional positions:
Tm (0.0000, 0.0000, 0.0000)  6 O 2.23
Tm (0.0000, 0.0000, 0.5000)  6 O 2.23
O (0.3333, 0.6667, 0.0855)  1 Ga 1.89
O (0.0000, 0.0000, 0.2500)  3 Ga 2.00
O (0.3333, 0.6667, 0.4145)  1 Ga 1.89
O (0.0000, 0.0000, 0.7500)  3 Ga 2.00
O (0.6667, 0.3333, 0.5855)  1 Ga 1.89
O (0.6667, 0.3333, 0.9145)  1 Ga 1.89
Ga (0.3333, 0.6667, 0.2500)  5 O 1.89-2.00
Ga (0.6667, 0.3333, 0.7500)  5 O 1.89-2.00

Calculated values
Electronic total energy   -38.1 eV per formula unit
Formation energy (no corrections)   -2.820 eV/atom
Size of the total moment   0.00 μB/f.u.
D(E_F)   0.0 states/eV per cell
Crystal system   hexagonal

---

VASP calculation (PBEsol) on crystalline Be2AlHgBi at its relaxed geometry.

Lattice parameters (Å, degrees): 4.4293 4.4293 5.3899 90.00 90.00 90.00
Last column: nearest neighbours and their distance in Å.
Fractional positions:
Be (0.0000, 0.5000, 0.0000)  2 Al 2.21
Be (0.5000, 0.0000, 0.0000)  2 Al 2.21
Al (0.0000, 0.0000, 0.0000)  4 Be 2.21
Bi (0.5000, 0.5000, 0.5000)  4 Hg 3.13, 8 Be 3.49
Hg (0.0000, 0.0000, 0.5000)  2 Al 2.69

Calculated values
Electronic total energy   -12.8 eV per formula unit
Size of the total moment   0.00 μB/f.u.
ΔH_f (0 K)   0.83 eV per atom
D(E_F)   2.5 states/eV per cell
Crystal system   tetragonal

---

VASP calculation (PBEsol) on crystalline TaFeSi at its relaxed geometry.

Lattice parameters (Å, degrees): 3.5413 4.8653 4.8914 90.00 90.00 111.34
Last column: nearest neighbours and their distance in Å.
Fractional positions:
Si (0.5827, 0.1655, 0.2500)  4 Fe 2.28
Si (0.4173, 0.8345, 0.7500)  4 Fe 2.28
Fe (0.0000, 0.0000, 0.0000)  4 Si 2.28, 2 Fe 2.45
Fe (0.0000, 0.0000, 0.5000)  4 Si 2.28, 2 Fe 2.45
Ta (0.2903, 0.5806, 0.2500)  5 Si 2.58-2.70, 4 Fe 2.87
Ta (0.7097, 0.4194, 0.7500)  5 Si 2.58-2.70, 4 Fe 2.87

Calculated values
Electronic total energy   -29.2 eV per formula unit
Formation energy (no corrections)   -0.638 eV/atom
Size of the total moment   0.51 μB/f.u.
D(E_F)   3.7 states/eV per cell
Crystal system   orthorhombic

---

VASP calculation (PBEsol) on crystalline CdHg2Pb at its relaxed geometry.

Lattice parameters (Å, degrees): 3.2716 5.2805 5.7264 90.00 92.71 90.00
Last column: nearest neighbours and their distance in Å.
Fractional positions:
Pb (0.5000, 0.5000, 0.0000)  4 Cd 3.23-3.36, 2 Pb 3.27, 8 Hg 3.33-3.52
Hg (0.9182, 0.0000, 0.7490)  2 Hg 2.90-2.93, 2 Cd 3.02
Hg (0.0818, 0.0000, 0.2510)  2 Hg 2.90-2.93, 2 Cd 3.02
Cd (0.0000, 0.5000, 0.5000)  4 Hg 3.02, 4 Pb 3.23-3.36, 2 Cd 3.27

Calculated values
Electronic total energy   -6.2 eV per formula unit
Size of the total moment   0.00 μB/f.u.
ΔH_f (0 K)   0.03 eV per atom
D(E_F)   1.5 states/eV per cell
Crystal system   monoclinic

---

VASP calculation (PBEsol) on crystalline BaMn3Ga at its relaxed geometry.

Lattice parameters (Å, degrees): 4.8570 4.8570 4.8570 90.00 90.00 90.00
Last column: nearest neighbours and their distance in Å.
Fractional positions:
Mn (0.0000, 0.5000, 0.0000)  2 Ga 2.43
Mn (0.0000, 0.0000, 0.5000)  2 Ga 2.43
Mn (0.5000, 0.0000, 0.0000)  2 Ga 2.43
Ba (0.5000, 0.5000, 0.5000)  12 Mn 3.43
Ga (0.0000, 0.0000, 0.0000)  6 Mn 2.43

Calculated values
Electronic total energy   -30.8 eV per formula unit
Size of the total moment   11.67 μB/f.u.
ΔH_f (0 K)   0.80 eV per atom
D(E_F)   5.4 states/eV per cell
Crystal system   cubic

---

VASP calculation (PBEsol) on crystalline Y2InAg at its relaxed geometry.

Lattice parameters (Å, degrees): 3.5672 3.5672 7.5918 90.00 90.00 90.00
Last column: nearest neighbours and their distance in Å.
Fractional positions:
Y (0.0000, 0.0000, 0.7624)  4 Ag 3.10, 4 In 3.21
Y (0.0000, 0.0000, 0.2376)  4 Ag 3.10, 4 In 3.21
Ag (0.5000, 0.5000, 0.0000)  8 Y 3.10
In (0.5000, 0.5000, 0.5000)  8 Y 3.21, 4 In 3.57

Calculated values
Electronic total energy   -21.8 eV per formula unit
Size of the total moment   0.00 μB/f.u.
ΔH_f (0 K)   -0.46 eV per atom
D(E_F)   3.0 states/eV per cell
Crystal system   tetragonal